Record 1
! Nd5Dy2HoTm (PBE, optimized geometry); values from VASP
! formation enthalpy at 0 K: 142 meV per atom
! crystal system: orthorhombic
! total moment: 0.0 μB per cell
! volume: 34.2 A^3/atom
&SYSTEM
  ibrav = 0, nat = 18, ntyp = 4
/
ATOMIC_SPECIES
Nd 144.24 Nd.upf
Dy 162.50 Dy.upf
Ho 164.93 Ho.upf
Tm 168.93 Tm.upf
CELL_PARAMETERS angstrom
5.6440 0.0000 0.0000
-2.8220 10.1984 0.0000
0.0000 0.0000 10.6867
ATOMIC_POSITIONS crystal
Nd 0.3829 0.7657 0.0205
Nd 0.7208 0.4417 0.8136
Nd 0.4838 0.9677 0.7442
Nd 0.2973 0.5946 0.7075
Nd 0.9841 0.9681 0.5160
Nd 0.6171 0.2343 0.5205
Nd 0.2792 0.5583 0.3136
Nd 0.5162 0.0323 0.2442
Nd 0.7027 0.4054 0.2075
Nd 0.0159 0.0319 0.0160
Dy 0.8857 0.7714 0.8085
Dy 0.1129 0.2257 0.7387
Dy 0.1143 0.2286 0.3085
Dy 0.8871 0.7743 0.2387
Ho 0.5928 0.1856 0.9639
Ho 0.4072 0.8144 0.4639
Tm 0.8019 0.6037 0.5110
Tm 0.1981 0.3963 0.0110


Record 2
! NdDy2Ho2Tm2 (PBE, optimized geometry); values from VASP
! formation enthalpy at 0 K: 21 meV per atom
! crystal system: monoclinic
! total moment: 0.0 μB per cell
! volume: 31.3 A^3/atom
&SYSTEM
  ibrav = 0, nat = 7, ntyp = 4
/
ATOMIC_SPECIES
Nd 144.24 Nd.upf
Dy 162.50 Dy.upf
Ho 164.93 Ho.upf
Tm 168.93 Tm.upf
CELL_PARAMETERS angstrom
-2.2799 1.9746 -4.0006
-1.2968 -5.9041 0.9622
-5.5963 3.0595 4.6993
ATOMIC_POSITIONS crystal
Nd 0.0000 0.0000 0.0000
Dy 0.1428 0.2856 0.4302
Dy 0.8572 0.7144 0.5698
Ho 0.5718 0.1436 0.7136
Ho 0.4282 0.8564 0.2864
Tm 0.7145 0.4289 0.1437
Tm 0.2855 0.5711 0.8563


Record 3
! NdDy2Ho3Tm6 (PBE, optimized geometry); values from VASP
! formation enthalpy at 0 K: 23 meV per atom
! crystal system: monoclinic
! total moment: 0.0 μB per cell
! volume: 30.8 A^3/atom
&SYSTEM
  ibrav = 0, nat = 12, ntyp = 4
/
ATOMIC_SPECIES
Nd 144.24 Nd.upf
Dy 162.50 Dy.upf
Ho 164.93 Ho.upf
Tm 168.93 Tm.upf
CELL_PARAMETERS angstrom
-1.0593 -5.2831 2.8542
2.5439 0.0106 -5.5415
9.9207 2.2470 5.6745
ATOMIC_POSITIONS crystal
Nd 0.0000 0.0000 0.0000
Dy 0.3333 0.6667 0.0000
Dy 0.6667 0.3333 0.0000
Ho 0.1669 0.8331 0.5000
Ho 0.8331 0.1669 0.5000
Ho 0.5000 0.5000 0.5000
Tm 0.9155 0.5817 0.7482
Tm 0.7505 0.7505 0.2516
Tm 0.0845 0.4183 0.2518
Tm 0.5817 0.9155 0.7482
Tm 0.2495 0.2495 0.7484
Tm 0.4183 0.0845 0.2518


Record 4
! NdDyHoTm2 (PBE, optimized geometry); values from VASP
! formation enthalpy at 0 K: 381 meV per atom
! crystal system: orthorhombic
! total moment: 0.0 μB per cell
! volume: 34.1 A^3/atom
&SYSTEM
  ibrav = 0, nat = 10, ntyp = 4
/
ATOMIC_SPECIES
Nd 144.24 Nd.upf
Dy 162.50 Dy.upf
Ho 164.93 Ho.upf
Tm 168.93 Tm.upf
CELL_PARAMETERS angstrom
7.1684 0.0000 0.0000
0.0000 8.3409 0.0000
0.0000 -4.1704 5.7062
ATOMIC_POSITIONS crystal
Nd 0.2500 0.7272 0.4544
Nd 0.7500 0.2728 0.5456
Dy 0.2500 0.9992 0.9984
Dy 0.7500 0.0008 0.0016
Ho 0.7500 0.7215 0.4430
Ho 0.2500 0.2785 0.5570
Tm 0.5000 0.3111 0.0000
Tm 0.0000 0.6889 0.0000
Tm 0.5000 0.6889 0.0000
Tm 0.0000 0.3111 0.0000